## FeMoW2 (PBE)

Data for crystalline FeMoW2 at its relaxed geometry.

Properties
symmetry = I-42d (122)
DOS(E_F) = 8.1 states/eV/cell
relative energy among the computed polymorphs = 76.44 kJ per mole of atoms
E_form = 0.863 eV per atom

a = 7.007 Å, b = 7.007 Å, c = 5.583 Å
α = 51.13°, β = 51.13°, γ = 90.00°
Fractional positions:
Mo (0.000, 0.000, 0.000)
Mo (0.750, 0.250, 0.500)
Fe (0.500, 0.500, 0.000)
Fe (0.250, 0.750, 0.500)
W (0.597, 0.125, 0.250)
W (0.153, 0.625, 0.250)
W (0.375, 0.403, 0.750)
W (0.875, 0.847, 0.750)